(1)
DFT (PBE) results for a relaxed structure of Ca2Pm2Ge3.

Calculated values
- Symmetry: C2/m
- N(E_F): 0.6846 states/eV per atom

Cell: 4.2929 7.0770 7.5546 Å, 115.94 90.00 107.66°
Sites, in units of the cell vectors:
Ca1 0.8902 0.7803 0.2372
Ca2 0.1098 0.2197 0.7628
Pm1 0.8417 0.6833 0.7292
Pm2 0.1583 0.3167 0.2708
Ge1 0.5000 0.0000 0.0000
Ge2 0.5849 0.1697 0.4550
Ge3 0.4151 0.8303 0.5450

---

(2)
DFT (PBE) results for a relaxed structure of Ca2PmGe2.

Calculated values
- Symmetry: C2/m
- N(E_F): 0.2952 states/eV per atom

Cell: 4.8237 6.7538 9.4149 Å, 81.35 75.16 69.08°
Sites, in units of the cell vectors:
Ca1 0.3071 0.2986 0.0871
Ca2 0.4788 0.3616 0.6807
Ca3 0.6929 0.7014 0.9129
Ca4 0.5212 0.6384 0.3193
Pm1 0.8004 0.0610 0.3381
Pm2 0.1996 0.9390 0.6619
Ge1 0.9430 0.1889 0.9252
Ge2 0.1356 0.3013 0.4274
Ge3 0.0570 0.8111 0.0748
Ge4 0.8644 0.6987 0.5726

---

Number 1: ΔH_f (0 K) -568.0 meV per atom, E -31.33 eV per cell. Number 2: ΔH_f (0 K) -563.7 meV per atom, E -41.61 eV per cell.